[1]
# MgCo2Re2 PBE relaxed
data_MgCo2Re2
_chemical_formula_sum 'Mg1 Co2 Re2'
_symmetry_space_group_name_H-M 'P 1'
_symmetry_Int_Tables_number 1
_cell_length_a 5.880
_cell_length_b 5.880
_cell_length_c 5.880
_cell_angle_alpha 141.53
_cell_angle_beta 141.53
_cell_angle_gamma 55.53
loop_
_symmetry_equiv_pos_as_xyz
'x,y,z'
loop_
_atom_site_label
_atom_site_type_symbol
_atom_site_fract_x
_atom_site_fract_y
_atom_site_fract_z
_atom_site_occupancy
Mg1 Mg 0.000 0.000 0.000 1
Co1 Co 0.250 0.750 0.500 1
Co2 Co 0.750 0.250 0.500 1
Re1 Re 0.386 0.386 0.000 1
Re2 Re 0.614 0.614 0.000 1
# V (A^3/atom): 15.62
# ΔE_f (eV per atom): 0.481



[2]
# USeS PBE relaxed
data_USeS
_chemical_formula_sum 'U4 Se4 S4'
_symmetry_space_group_name_H-M 'P 1'
_symmetry_Int_Tables_number 1
_cell_length_a 7.312
_cell_length_b 4.078
_cell_length_c 8.664
_cell_angle_alpha 90.00
_cell_angle_beta 90.00
_cell_angle_gamma 90.00
loop_
_symmetry_equiv_pos_as_xyz
'x,y,z'
loop_
_atom_site_label
_atom_site_type_symbol
_atom_site_fract_x
_atom_site_fract_y
_atom_site_fract_z
_atom_site_occupancy
U1 U 0.226 0.250 0.127 1
U2 U 0.274 0.750 0.627 1
U3 U 0.726 0.250 0.373 1
U4 U 0.774 0.750 0.873 1
Se1 Se 0.029 0.750 0.336 1
Se2 Se 0.471 0.250 0.836 1
Se3 Se 0.529 0.750 0.164 1
Se4 Se 0.971 0.250 0.664 1
S1 S 0.146 0.750 0.930 1
S2 S 0.354 0.250 0.430 1
S3 S 0.646 0.750 0.570 1
S4 S 0.854 0.250 0.070 1
# Raw formation energy (eV per atom): -1.30
# V (A^3/atom): 21.53



[3]
# BaTlAsPd3 PBE relaxed
data_BaTlAsPd3
_chemical_formula_sum 'Ba2 Tl2 As2 Pd6'
_symmetry_space_group_name_H-M 'P 1'
_symmetry_Int_Tables_number 1
_cell_length_a 7.400
_cell_length_b 7.400
_cell_length_c 6.444
_cell_angle_alpha 90.00
_cell_angle_beta 90.00
_cell_angle_gamma 121.24
loop_
_symmetry_equiv_pos_as_xyz
'x,y,z'
loop_
_atom_site_label
_atom_site_type_symbol
_atom_site_fract_x
_atom_site_fract_y
_atom_site_fract_z
_atom_site_occupancy
Ba1 Ba 0.218 0.782 0.750 1
Ba2 Ba 0.782 0.218 0.250 1
Tl1 Tl 0.497 0.503 0.250 1
Tl2 Tl 0.503 0.497 0.750 1
As1 As 0.101 0.899 0.250 1
As2 As 0.899 0.101 0.750 1
Pd1 Pd 0.193 0.193 0.000 1
Pd2 Pd 0.193 0.193 0.500 1
Pd3 Pd 0.286 0.714 0.250 1
Pd4 Pd 0.714 0.286 0.750 1
Pd5 Pd 0.807 0.807 0.000 1
Pd6 Pd 0.807 0.807 0.500 1
# V (A^3/atom): 25.14
# ΔE_f (eV per atom): -0.427



[4]
# MnCu2Cl PBE relaxed
data_MnCu2Cl
_chemical_formula_sum 'Mn1 Cu2 Cl1'
_symmetry_space_group_name_H-M 'P 1'
_symmetry_Int_Tables_number 1
_cell_length_a 5.817
_cell_length_b 5.817
_cell_length_c 5.817
_cell_angle_alpha 150.90
_cell_angle_beta 138.73
_cell_angle_gamma 51.29
loop_
_symmetry_equiv_pos_as_xyz
'x,y,z'
loop_
_atom_site_label
_atom_site_type_symbol
_atom_site_fract_x
_atom_site_fract_y
_atom_site_fract_z
_atom_site_occupancy
Mn1 Mn 0.000 0.000 0.000 1
Cu1 Cu 0.231 0.731 0.500 1
Cu2 Cu 0.769 0.269 0.500 1
Cl1 Cl 0.500 0.500 0.000 1
# Raw formation energy (eV per atom): 0.28
# V (A^3/atom): 15.71



[5]
# Na2HoTlCl6 PBE relaxed
data_Na2HoTlCl6
_chemical_formula_sum 'Na2 Ho1 Tl1 Cl6'
_symmetry_space_group_name_H-M 'P 1'
_symmetry_Int_Tables_number 1
_cell_length_a 7.785
_cell_length_b 7.785
_cell_length_c 7.785
_cell_angle_alpha 55.23
_cell_angle_beta 55.23
_cell_angle_gamma 55.23
loop_
_symmetry_equiv_pos_as_xyz
'x,y,z'
loop_
_atom_site_label
_atom_site_type_symbol
_atom_site_fract_x
_atom_site_fract_y
_atom_site_fract_z
_atom_site_occupancy
Na1 Na 0.000 0.000 0.000 1
Na2 Na 0.485 0.485 0.485 1
Ho1 Ho 0.681 0.681 0.681 1
Tl1 Tl 0.201 0.201 0.201 1
Cl1 Cl 0.061 0.431 0.756 1
Cl2 Cl 0.291 0.849 0.643 1
Cl3 Cl 0.431 0.756 0.061 1
Cl4 Cl 0.643 0.291 0.849 1
Cl5 Cl 0.756 0.061 0.431 1
Cl6 Cl 0.849 0.643 0.291 1
# Raw formation energy (eV per atom): -1.85
# V (A^3/atom): 29.67



[6]
# ScGePd2 PBE relaxed
data_ScGePd2
_chemical_formula_sum 'Sc8 Ge8 Pd16'
_symmetry_space_group_name_H-M 'P 1'
_symmetry_Int_Tables_number 1
_cell_length_a 14.193
_cell_length_b 7.201
_cell_length_c 5.334
_cell_angle_alpha 90.00
_cell_angle_beta 90.00
_cell_angle_gamma 90.00
loop_
_symmetry_equiv_pos_as_xyz
'x,y,z'
loop_
_atom_site_label
_atom_site_type_symbol
_atom_site_fract_x
_atom_site_fract_y
_atom_site_fract_z
_atom_site_occupancy
Sc1 Sc 0.111 0.250 0.227 1
Sc2 Sc 0.133 0.750 0.021 1
Sc3 Sc 0.367 0.250 0.521 1
Sc4 Sc 0.389 0.750 0.727 1
Sc5 Sc 0.611 0.250 0.273 1
Sc6 Sc 0.633 0.750 0.479 1
Sc7 Sc 0.867 0.250 0.979 1
Sc8 Sc 0.889 0.750 0.773 1
Ge1 Ge 0.067 0.750 0.529 1
Ge2 Ge 0.183 0.250 0.732 1
Ge3 Ge 0.317 0.750 0.232 1
Ge4 Ge 0.433 0.250 0.029 1
Ge5 Ge 0.567 0.750 0.971 1
Ge6 Ge 0.683 0.250 0.768 1
Ge7 Ge 0.817 0.750 0.268 1
Ge8 Ge 0.933 0.250 0.471 1
Pd1 Pd 0.033 0.051 0.764 1
Pd2 Pd 0.033 0.449 0.764 1
Pd3 Pd 0.218 0.554 0.528 1
Pd4 Pd 0.218 0.946 0.528 1
Pd5 Pd 0.282 0.054 0.028 1
Pd6 Pd 0.282 0.446 0.028 1
Pd7 Pd 0.467 0.551 0.264 1
Pd8 Pd 0.467 0.949 0.264 1
Pd9 Pd 0.533 0.051 0.736 1
Pd10 Pd 0.533 0.449 0.736 1
Pd11 Pd 0.718 0.554 0.972 1
Pd12 Pd 0.718 0.946 0.972 1
Pd13 Pd 0.782 0.054 0.472 1
Pd14 Pd 0.782 0.446 0.472 1
Pd15 Pd 0.967 0.551 0.236 1
Pd16 Pd 0.967 0.949 0.236 1
# V (A^3/atom): 17.04
# ΔE_f (eV per atom): -0.817



[7]
# Pm2Y15Sc2 PBE relaxed
data_Pm2Y15Sc2
_chemical_formula_sum 'Pm2 Y15 Sc2'
_symmetry_space_group_name_H-M 'P 1'
_symmetry_Int_Tables_number 1
_cell_length_a 8.725
_cell_length_b 8.725
_cell_length_c 8.725
_cell_angle_alpha 79.92
_cell_angle_beta 79.92
_cell_angle_gamma 79.92
loop_
_symmetry_equiv_pos_as_xyz
'x,y,z'
loop_
_atom_site_label
_atom_site_type_symbol
_atom_site_fract_x
_atom_site_fract_y
_atom_site_fract_z
_atom_site_occupancy
Pm1 Pm 0.178 0.178 0.178 1
Pm2 Pm 0.822 0.822 0.822 1
Y1 Y 0.000 0.500 0.500 1
Y2 Y 0.133 0.133 0.646 1
Y3 Y 0.133 0.646 0.133 1
Y4 Y 0.207 0.500 0.793 1
Y5 Y 0.207 0.793 0.500 1
Y6 Y 0.354 0.867 0.867 1
Y7 Y 0.500 0.000 0.500 1
Y8 Y 0.500 0.207 0.793 1
Y9 Y 0.500 0.500 0.000 1
Y10 Y 0.500 0.793 0.207 1
Y11 Y 0.646 0.133 0.133 1
Y12 Y 0.793 0.207 0.500 1
Y13 Y 0.793 0.500 0.207 1
Y14 Y 0.867 0.354 0.867 1
Y15 Y 0.867 0.867 0.354 1
Sc1 Sc 0.409 0.409 0.409 1
Sc2 Sc 0.591 0.591 0.591 1
# V (A^3/atom): 33.51
# ΔE_f (eV per atom): 0.293



[8]
# TiInP2S PBE relaxed
data_TiInP2S
_chemical_formula_sum 'Ti1 In1 P2 S1'
_symmetry_space_group_name_H-M 'P 1'
_symmetry_Int_Tables_number 1
_cell_length_a 4.807
_cell_length_b 4.807
_cell_length_c 4.679
_cell_angle_alpha 90.00
_cell_angle_beta 90.00
_cell_angle_gamma 90.00
loop_
_symmetry_equiv_pos_as_xyz
'x,y,z'
loop_
_atom_site_label
_atom_site_type_symbol
_atom_site_fract_x
_atom_site_fract_y
_atom_site_fract_z
_atom_site_occupancy
Ti1 Ti 0.000 0.000 0.000 1
In1 In 0.500 0.500 0.500 1
P1 P 0.000 0.500 0.000 1
P2 P 0.500 0.000 0.000 1
S1 S 0.000 0.000 0.500 1
# Raw formation energy (eV per atom): -0.07
# V (A^3/atom): 21.62